No. 1
# RbNaMgIn

RbNaMgIn after structural relaxation (PBE-GGA, Alexandria via LeMat-Bulk).

The total energy comes out at -1.556 eV per atom. As for the crystal system: cubic. For the formation energy, the calculation gives 0.099 eV per atom.

Lattice parameters (Å, degrees): 5.7040 5.7040 5.7040 60.00 60.00 60.00
Fractional coordinates of all 4 atoms:
Na: 0.2500 0.2500 0.2500
Mg: 0.7500 0.7500 0.7500
Rb: 0.5000 0.5000 0.5000
In: 0.0000 0.0000 0.0000

No. 2
# BeMoRuBr2

BeMoRuBr2 after structural relaxation (PBE-GGA, Alexandria via LeMat-Bulk).

The total energy comes out at -4.173 eV per atom. As for the crystal system: tetragonal.

Lattice parameters (Å, degrees): 4.5997 4.3958 4.5997 90.00 90.00 90.00
Fractional coordinates of all 5 atoms:
Ru: 0.0000 0.5000 0.0000
Mo: 0.5000 0.5000 0.5000
Br: 0.0000 0.0000 0.5000
Br: 0.5000 0.0000 0.0000
Be: 0.0000 0.0000 0.0000

No. 3
# Mg5TlHg6

Mg5TlHg6 after structural relaxation (PBE-GGA, Alexandria via LeMat-Bulk).

The total energy comes out at -1.166 eV per atom. As for the crystal system: monoclinic. For the formation energy, the calculation gives -0.153 eV per atom.

Lattice parameters (Å, degrees): 4.9502 7.5035 7.7600 90.00 109.14 90.00
Fractional coordinates of all 12 atoms:
Mg: 0.6631 0.5000 0.3298
Mg: 0.3365 0.0000 0.6696
Mg: 0.0000 0.5000 0.0000
Mg: 0.6635 0.0000 0.3304
Mg: 0.3369 0.5000 0.6702
Tl: 0.0000 0.0000 0.0000
Hg: 0.8280 0.7405 0.6519
Hg: 0.8280 0.2595 0.6519
Hg: 0.5000 0.2698 0.0000
Hg: 0.5000 0.7302 0.0000
Hg: 0.1720 0.7405 0.3481
Hg: 0.1720 0.2595 0.3481

No. 4
# Rb2NaHgCl

Rb2NaHgCl after structural relaxation (PBE-GGA, Alexandria via LeMat-Bulk).

The total energy comes out at -1.791 eV per atom. As for the crystal system: tetragonal.

Lattice parameters (Å, degrees): 6.5074 6.5074 5.4542 90.00 90.00 90.00
Fractional coordinates of all 5 atoms:
Na: 0.0000 0.0000 0.5000
Hg: 0.5000 0.5000 0.5000
Rb: 0.0000 0.5000 0.0000
Rb: 0.5000 0.0000 0.0000
Cl: 0.0000 0.0000 0.0000

No. 5
# BaLi3Mg

BaLi3Mg after structural relaxation (PBE-GGA, Alexandria via LeMat-Bulk).

The total energy comes out at -1.788 eV per atom. As for the crystal system: hexagonal. For the formation energy, the calculation gives 0.064 eV per atom.

Lattice parameters (Å, degrees): 6.4200 7.4425 7.4422 120.02 90.00 90.00
Fractional coordinates of all 10 atoms:
Ba: 0.7500 0.6668 0.3334
Ba: 0.2500 0.3332 0.6666
Li: 0.7500 0.6126 0.8063
Li: 0.2500 0.8063 0.6126
Li: 0.2500 0.3874 0.1937
Li: 0.7500 0.1937 0.3874
Li: 0.2500 0.8063 0.1936
Li: 0.7500 0.1937 0.8064
Mg: 0.0000 0.0000 0.0000
Mg: 0.5000 0.0000 0.0000

No. 6
# YGe2P2

YGe2P2 after structural relaxation (PBE-GGA, Alexandria via LeMat-Bulk).

The total energy comes out at -5.610 eV per atom. As for the crystal system: tetragonal. For the formation energy, the calculation gives -0.306 eV per atom.

Lattice parameters (Å, degrees): 3.8525 3.8525 7.2736 74.64 74.64 90.00
Fractional coordinates of all 5 atoms:
Y: 0.0000 0.0000 0.0000
P: 0.4161 0.4161 0.1678
P: 0.5839 0.5839 0.8322
Ge: 0.7500 0.2500 0.5000
Ge: 0.2500 0.7500 0.5000

No. 7
# Nd8DyIn2

Nd8DyIn2 after structural relaxation (PBE-GGA, Alexandria via LeMat-Bulk).

The total energy comes out at -4.447 eV per atom. As for the crystal system: monoclinic. For the formation energy, the calculation gives -0.063 eV per atom.

Lattice parameters (Å, degrees): 5.8976 9.0378 9.0378 120.07 103.58 103.58
Fractional coordinates of all 11 atoms:
Nd: 0.8696 0.9058 0.6754
Nd: 0.8696 0.6754 0.9058
Nd: 0.2924 0.5912 0.5912
Nd: 0.5000 0.7837 0.2163
Nd: 0.5000 0.2163 0.7837
Nd: 0.7076 0.4088 0.4088
Nd: 0.1304 0.3246 0.0942
Nd: 0.1304 0.0942 0.3246
Dy: 0.5000 0.0000 0.0000
In: 0.0000 0.3064 0.6936
In: 0.0000 0.6936 0.3064

No. 8
# CoNiRh2

CoNiRh2 after structural relaxation (PBE-GGA, Alexandria via LeMat-Bulk).

The total energy comes out at -6.658 eV per atom. As for the crystal system: orthorhombic. For the formation energy, the calculation gives 0.239 eV per atom.

Lattice parameters (Å, degrees): 2.6149 2.6149 8.7145 90.00 90.00 118.17
Fractional coordinates of all 4 atoms:
Co: 0.0000 0.0000 0.5095
Ni: 0.5000 0.5000 0.7394
Rh: 0.0000 0.0000 0.9902
Rh: 0.5000 0.5000 0.2609